No. 1
Compound: LiVCu2Se4
Source: the Alexandria database
Functional: PBE
Structure: relaxed

a b c (Å): 6.736 6.736 6.736
angles (deg): 129.52 129.52 74.17
Element x y z (fractional)
Se 0.642 0.642 0.537
Se 0.896 0.358 0.000
Se 0.358 0.896 0.000
Se 0.104 0.104 0.463
Cu 0.750 0.250 0.500
Cu 0.250 0.750 0.500
Li 0.500 0.500 0.000
V 0.000 0.000 0.000

Computed properties:
As for the total energy: -4.68 eV per atom. The size of the total moment is 0.00 μB/f.u. For the uncorrected formation energy, the calculation gives -4.30 eV per formula unit. As for the space group: No. 121.



No. 2
Compound: K3ReSe
Source: the Alexandria database
Functional: PBE
Structure: relaxed

a b c (Å): 6.219 6.219 6.219
angles (deg): 90.00 90.00 90.00
Element x y z (fractional)
Re 0.500 0.500 0.500
Se 0.000 0.000 0.000
K 0.000 0.500 0.000
K 0.500 0.000 0.000
K 0.000 0.000 0.500

Computed properties:
As for the total energy: -3.12 eV per atom. The size of the total moment is 4.04 μB/f.u. For the uncorrected formation energy, the calculation gives 3.60 eV per formula unit. As for the space group: No. 221. As for the excess energy over the best structure of this formula in the dataset: 0 meV per atom.



No. 3
Compound: ZrScBr2N
Source: the Alexandria database
Functional: PBE
Structure: relaxed

a b c (Å): 4.938 6.163 4.938
angles (deg): 90.00 90.00 90.00
Element x y z (fractional)
Br 0.500 0.000 0.000
Br 0.000 0.000 0.500
Zr 0.000 0.500 0.000
N 0.500 0.500 0.500
Sc 0.000 0.000 0.000

Computed properties:
As for the total energy: -4.46 eV per atom. The size of the total moment is 0.26 μB/f.u. For the uncorrected formation energy, the calculation gives 4.27 eV per formula unit. As for the space group: No. 123.



No. 4
Compound: TaZnRu3
Source: the Alexandria database
Functional: PBE
Structure: relaxed

a b c (Å): 4.404 4.404 4.404
angles (deg): 90.00 90.00 90.00
Element x y z (fractional)
Ru 0.000 0.000 0.500
Ru 0.000 0.500 0.000
Ru 0.500 0.000 0.000
Ta 0.500 0.500 0.500
Zn 0.000 0.000 0.000

Computed properties:
As for the total energy: -6.99 eV per atom. The size of the total moment is 0.00 μB/f.u. Its formation energy is 1.2041 eV/atom. As for the space group: No. 221. As for the excess energy over the best structure of this formula in the dataset: 0 meV per atom.



size of the total moment of number 3 (ZrScBr2N)? 0.26 μB/f.u.



Copy entry 1 word for word.
Compound: LiVCu2Se4
Source: the Alexandria database
Functional: PBE
Structure: relaxed

a b c (Å): 6.736 6.736 6.736
angles (deg): 129.52 129.52 74.17
Element x y z (fractional)
Se 0.642 0.642 0.537
Se 0.896 0.358 0.000
Se 0.358 0.896 0.000
Se 0.104 0.104 0.463
Cu 0.750 0.250 0.500
Cu 0.250 0.750 0.500
Li 0.500 0.500 0.000
V 0.000 0.000 0.000

Computed properties:
As for the total energy: -4.68 eV per atom. The size of the total moment is 0.00 μB/f.u. For the uncorrected formation energy, the calculation gives -4.30 eV per formula unit. As for the space group: No. 121.